[1]
# Li2MgSi2Pd5 PBE optimized geometry
data_Li2MgSi2Pd5
_chemical_formula_sum 'Li4 Mg2 Si4 Pd10'
_space_group_name_H-M_alt 'P 1'
_space_group_IT_number 1
_space_group_name_Hall 'P 1'
_cell_length_a 3.5543
_cell_length_b 9.3920
_cell_length_c 9.3920
_cell_angle_alpha 90.00
_cell_angle_beta 90.00
_cell_angle_gamma 90.00
loop_
_atom_site_label
_atom_site_type_symbol
_atom_site_fract_x
_atom_site_fract_y
_atom_site_fract_z
_atom_site_occupancy
Pd1 Pd 0.5000 0.5762 0.7063 1
Pd2 Pd 0.5000 0.7937 0.9238 1
Li1 Li 0.0000 0.8310 0.6690 1
Li2 Li 0.0000 0.3310 0.8310 1
Pd3 Pd 0.5000 0.2937 0.5762 1
Pd4 Pd 0.5000 0.4238 0.2937 1
Pd5 Pd 0.5000 0.7063 0.4238 1
Li3 Li 0.0000 0.6690 0.1690 1
Li4 Li 0.0000 0.1690 0.3310 1
Pd6 Pd 0.5000 0.5000 0.0000 1
Pd7 Pd 0.5000 0.2063 0.0762 1
Pd8 Pd 0.5000 0.9238 0.2063 1
Pd9 Pd 0.5000 0.0762 0.7937 1
Si1 Si 0.0000 0.6291 0.8709 1
Mg1 Mg 0.0000 0.5000 0.5000 1
Si2 Si 0.0000 0.8709 0.3709 1
Mg2 Mg 0.0000 0.0000 0.0000 1
Si3 Si 0.0000 0.3709 0.1291 1
Si4 Si 0.0000 0.1291 0.6291 1
Pd10 Pd 0.5000 0.0000 0.5000 1
# Formation energy (no corrections)   -595 meV/atom
# Symmetry   P4/mbm (127)

=====

[2]
# LiSmMgPd PBE optimized geometry
data_LiSmMgPd
_chemical_formula_sum 'Li1 Sm1 Mg1 Pd1'
_space_group_name_H-M_alt 'P 1'
_space_group_IT_number 1
_space_group_name_Hall 'P 1'
_cell_length_a 4.8877
_cell_length_b 4.8877
_cell_length_c 4.8877
_cell_angle_alpha 60.00
_cell_angle_beta 60.00
_cell_angle_gamma 60.00
loop_
_atom_site_label
_atom_site_type_symbol
_atom_site_fract_x
_atom_site_fract_y
_atom_site_fract_z
_atom_site_occupancy
Sm1 Sm 0.2500 0.2500 0.2500 1
Pd1 Pd 0.5000 0.5000 0.5000 1
Mg1 Mg 0.7500 0.7500 0.7500 1
Li1 Li 0.0000 0.0000 0.0000 1
# Symmetry   F-43m (216)
# Formation enthalpy at 0 K   -0.408 eV/atom

=====

[3]
# Li2Sm2MgPd5 PBE optimized geometry
data_Li2Sm2MgPd5
_chemical_formula_sum 'Li4 Sm4 Mg2 Pd10'
_space_group_name_H-M_alt 'P 1'
_space_group_IT_number 1
_space_group_name_Hall 'P 1'
_cell_length_a 3.7039
_cell_length_b 9.7125
_cell_length_c 9.7125
_cell_angle_alpha 90.00
_cell_angle_beta 90.00
_cell_angle_gamma 90.00
loop_
_atom_site_label
_atom_site_type_symbol
_atom_site_fract_x
_atom_site_fract_y
_atom_site_fract_z
_atom_site_occupancy
Sm1 Sm 0.0000 0.1785 0.3215 1
Li1 Li 0.0000 0.6201 0.8799 1
Pd1 Pd 0.5000 0.4341 0.2925 1
Pd2 Pd 0.5000 0.7075 0.4341 1
Pd3 Pd 0.5000 0.5000 0.0000 1
Pd4 Pd 0.5000 0.9341 0.2075 1
Sm2 Sm 0.0000 0.8215 0.6785 1
Pd5 Pd 0.5000 0.5659 0.7075 1
Sm3 Sm 0.0000 0.6785 0.1785 1
Sm4 Sm 0.0000 0.3215 0.8215 1
Li2 Li 0.0000 0.1201 0.6201 1
Mg1 Mg 0.0000 0.0000 0.0000 1
Li3 Li 0.0000 0.8799 0.3799 1
Pd6 Pd 0.5000 0.0659 0.7925 1
Pd7 Pd 0.5000 0.2925 0.5659 1
Pd8 Pd 0.5000 0.7925 0.9341 1
Li4 Li 0.0000 0.3799 0.1201 1
Pd9 Pd 0.5000 0.0000 0.5000 1
Pd10 Pd 0.5000 0.2075 0.0659 1
Mg2 Mg 0.0000 0.5000 0.5000 1
# Symmetry   P4/mbm (127)
# Formation enthalpy at 0 K   -0.652 eV/atom

=====

no.,volume (Å³/f.u.)
1,156.8
2,82.6
3,174.7